Compound: PmSnPd4
Source: the Alexandria database
Functional: PBE
Structure: relaxed

Properties
- Fermi-level density of states: 0.421 states/eV/atom
- Excess energy over the best structure of this formula in the dataset: 0.0000 eV/atom
- Calculated formation energy: -3.74 eV/f.u.
- Crystal system: monoclinic
- Raw total energy: -33.26 eV per cell

The structure in POSCAR format:
```
PmSnPd4
1.0
-1.950 -2.852 1.130
-3.021 -1.764 -3.819
4.678 -5.167 0.881
Pd Sn Pm
4 1 1
direct
0.809 0.533 0.850 Pd
0.357 0.971 0.314 Pd
0.191 0.467 0.150 Pd
0.643 0.029 0.686 Pd
0.000 0.000 0.000 Sn
0.500 0.500 0.500 Pm
```

Compound: NaCrCd3
Source: the Alexandria database
Functional: PBE
Structure: relaxed

Properties
- Fermi-level density of states: 0.512 states/eV/atom
- Excess energy over the best structure of this formula in the dataset: 0.5115 eV/atom
- Calculated formation energy: 4.56 eV/f.u.
- Crystal system: cubic
- Raw total energy: -9.13 eV per cell

The structure in POSCAR format:
```
NaCrCd3
1.0
-1.335 -2.742 -4.431
4.632 1.471 -2.306
2.387 -4.388 1.996
Cr Cd Na
1 3 1
direct
0.500 0.500 0.500 Cr
0.500 0.000 0.000 Cd
0.000 0.000 0.500 Cd
0.000 0.500 0.000 Cd
0.000 0.000 0.000 Na
```

Compound: Tm3ScPb2
Source: the Alexandria database
Functional: PBE
Structure: relaxed

Properties
- Fermi-level density of states: 0.685 states/eV/atom
- Calculated formation energy: -2.41 eV/f.u.
- Crystal system: tetragonal
- Raw total energy: -29.57 eV per cell

The structure in POSCAR format:
```
Tm3ScPb2
1.0
4.473 0.000 0.000
0.000 4.473 0.000
0.000 0.000 8.291
Pb Tm Sc
2 3 1
direct
0.500 0.000 0.720 Pb
0.000 0.500 0.280 Pb
0.000 0.500 0.662 Tm
0.000 0.000 0.000 Tm
0.500 0.000 0.338 Tm
0.500 0.500 0.000 Sc
```

Compound: NaZr3B4O12
Source: the Alexandria database
Functional: PBE
Structure: relaxed

Properties
- Fermi-level density of states: 0.251 states/eV/atom
- Crystal system: trigonal
- Raw total energy: -167.17 eV per cell

The structure in POSCAR format:
```
NaZr3B4O12
1.0
6.418 0.042 0.058
-1.506 6.239 0.058
-1.506 -1.925 5.935
O Zr B Na
12 3 4 1
direct
0.981 0.212 0.393 O
0.500 0.362 0.638 O
0.500 0.090 0.910 O
0.362 0.638 0.500 O
0.019 0.607 0.788 O
0.090 0.910 0.500 O
0.393 0.981 0.212 O
0.607 0.788 0.019 O
0.910 0.500 0.090 O
0.638 0.500 0.362 O
0.788 0.019 0.607 O
0.212 0.393 0.981 O
0.544 0.456 0.000 Zr
0.456 0.000 0.544 Zr
0.000 0.544 0.456 Zr
0.500 0.500 0.500 B
0.500 0.951 0.049 B
0.049 0.500 0.951 B
0.951 0.049 0.500 B
0.000 0.000 0.000 Na
```

Compound: Y2HoHg8
Source: the Alexandria database
Functional: PBE
Structure: relaxed

Properties
- Fermi-level density of states: 0.496 states/eV/atom
- Calculated formation energy: -3.37 eV/f.u.
- Crystal system: orthorhombic
- Raw total energy: -23.29 eV per cell

The structure in POSCAR format:
```
Y2HoHg8
1.0
4.851 0.000 -1.476
-1.104 6.385 -3.627
-0.057 0.512 8.522
Hg Ho Y
8 1 2
direct
0.000 0.291 0.000 Hg
0.644 0.855 0.288 Hg
0.644 0.433 0.288 Hg
0.356 0.567 0.712 Hg
0.000 0.709 0.000 Hg
0.356 0.145 0.712 Hg
0.843 0.843 0.686 Hg
0.157 0.157 0.314 Hg
0.500 0.000 0.000 Ho
0.196 0.696 0.391 Y
0.804 0.304 0.609 Y
```

Compound: YNiB
Source: the Alexandria database
Functional: PBE
Structure: relaxed

Properties
- Fermi-level density of states: 0.968 states/eV/atom
- Excess energy over the best structure of this formula in the dataset: 0.0362 eV/atom
- Calculated formation energy: -1.08 eV/f.u.
- Crystal system: hexagonal
- Raw total energy: -20.00 eV per cell

The structure in POSCAR format:
```
YNiB
1.0
3.835 0.000 0.000
0.000 3.668 0.000
0.000 -1.834 3.177
Ni B Y
1 1 1
direct
0.167 0.000 0.000 Ni
0.167 0.667 0.333 B
0.667 0.333 0.667 Y
```

Number 1: density 10.23 g cm⁻³. Number 2: density 4.40 g cm⁻³. Number 3: density 9.67 g cm⁻³. Number 4: density 3.69 g cm⁻³. Number 5: density 11.83 g cm⁻³. Number 6: density 5.89 g cm⁻³.